Entry 1
First-principles (GGA-PBE) data for crystalline CeTh2Ir at its relaxed geometry, as listed in the Alexandria database.

a = 7.159 Å, b = 9.932 Å, c = 6.360 Å
α = 90.00°, β = 90.00°, γ = 90.00°
Space group Pnma (No. 62)
Inequivalent atoms, fractional coordinates:
Ce1 0.037 0.250 0.157 (multiplicity 4)
Th1 0.181 0.060 0.649 (multiplicity 8)
Ir1 0.124 0.750 0.417 (multiplicity 4)

Output
density of states at the Fermi level: 1.89 states/eV/atom

=====

Entry 2
First-principles (GGA-PBE) data for crystalline CeTh2Ir at its relaxed geometry, as listed in the Alexandria database.

a = 3.775 Å, b = 11.926 Å, c = 9.902 Å
α = 90.00°, β = 90.00°, γ = 90.00°
Space group Cmcm (No. 63)
Inequivalent atoms, fractional coordinates:
Ce1 0.000 0.088 0.250 (multiplicity 4)
Th1 0.000 0.363 0.055 (multiplicity 8)
Ir1 0.000 0.223 0.750 (multiplicity 4)

Output
density of states at the Fermi level: 1.58 states/eV/atom

=====

entry 2 has the most favorable energy; the next structure is 12 meV/atom above.

=====

Entry 1
First-principles (GGA-PBE) data for crystalline CeTh2Ir at its relaxed geometry, as listed in the Alexandria database.

a = 3.8572 Å, b = 3.8572 Å, c = 30.5783 Å
α = 90.00°, β = 90.00°, γ = 120.00°
Space group R-3m (No. 166, hexagonal axes)
Inequivalent atoms, fractional coordinates:
Ce1 0.0000 0.0000 0.0000 (multiplicity 3)
Th1 0.0000 0.0000 0.1097 (multiplicity 6)
Ir1 0.0000 0.0000 0.5000 (multiplicity 3)

Output
density of states at the Fermi level: 2.41 states/eV/atom

=====

Entry 2
First-principles (GGA-PBE) data for crystalline CeTh2Ir at its relaxed geometry, as listed in the Alexandria database.

a = 3.680 Å, b = 3.680 Å, c = 7.742 Å
α = 90.00°, β = 90.00°, γ = 90.00°
Space group P4/mmm (No. 123)
Inequivalent atoms, fractional coordinates:
Ce1 0.000 0.000 0.000 (multiplicity 1)
Th1 0.500 0.500 0.287 (multiplicity 2)
Ir1 0.000 0.000 0.500 (multiplicity 1)

Output
density of states at the Fermi level: 1.32 states/eV/atom

=====

Entry 3
First-principles (GGA-PBE) data for crystalline CeTh2Ir at its relaxed geometry, as listed in the Alexandria database.

a = 3.9476 Å, b = 3.9476 Å, c = 27.5700 Å
α = 90.00°, β = 90.00°, γ = 120.00°
Space group R3m (No. 160, hexagonal axes)
Inequivalent atoms, fractional coordinates:
Ce1 0.0000 0.0000 0.0000 (multiplicity 3)
Th1 0.0000 0.0000 0.5624 (multiplicity 3)
Th2 0.0000 0.0000 0.7717 (multiplicity 3)
Ir1 0.0000 0.0000 0.1664 (multiplicity 3)

Output
density of states at the Fermi level: 2.06 states/eV/atom

=====

entry 2 has the most favorable energy; the next structure is 63 meV/atom above.

=====

Entry 1
First-principles (GGA-PBE) data for crystalline CeThIr2 at its relaxed geometry, as listed in the Alexandria database.

a = 4.0867 Å, b = 4.0867 Å, c = 19.9604 Å
α = 90.00°, β = 90.00°, γ = 120.00°
Space group R-3m (No. 166, hexagonal axes)
Inequivalent atoms, fractional coordinates:
Ce1 0.0000 0.0000 0.0000 (multiplicity 3)
Th1 0.0000 0.0000 0.5000 (multiplicity 3)
Ir1 0.0000 0.0000 0.2520 (multiplicity 6)

Output
density of states at the Fermi level: 0.67 states/eV/atom

=====

Entry 2
First-principles (GGA-PBE) data for crystalline CeThIr2 at its relaxed geometry, as listed in the Alexandria database.

a = 4.0275 Å, b = 4.0275 Å, c = 20.8841 Å
α = 90.00°, β = 90.00°, γ = 120.00°
Space group R3m (No. 160, hexagonal axes)
Inequivalent atoms, fractional coordinates:
Ce1 0.0000 0.0000 0.0000 (multiplicity 3)
Th1 0.0000 0.0000 0.1723 (multiplicity 3)
Ir1 0.0000 0.0000 0.4195 (multiplicity 3)
Ir2 0.0000 0.0000 0.5884 (multiplicity 3)

Output
density of states at the Fermi level: 0.65 states/eV/atom

=====

entry 1 has the most favorable energy; the next structure is 127 meV/atom above.

=====

Entry 1
First-principles (GGA-PBE) data for crystalline CeThIr2 at its relaxed geometry, as listed in the Alexandria database.

a = 3.541 Å, b = 3.541 Å, c = 7.069 Å
α = 90.00°, β = 90.00°, γ = 90.00°
Space group P4/mmm (No. 123)
Inequivalent atoms, fractional coordinates:
Ce1 0.000 0.000 0.000 (multiplicity 1)
Th1 0.000 0.000 0.500 (multiplicity 1)
Ir1 0.500 0.500 0.248 (multiplicity 2)

Output
density of states at the Fermi level: 1.34 states/eV/atom

=====

Entry 2
First-principles (GGA-PBE) data for crystalline CeThIr2 at its relaxed geometry, as listed in the Alexandria database.

a = 4.137 Å, b = 3.911 Å, c = 11.338 Å
α = 90.00°, β = 90.00°, γ = 90.00°
Space group Amm2 (No. 38)
Inequivalent atoms, fractional coordinates:
Ce1 0.000 0.000 0.000 (multiplicity 2)
Th1 0.500 0.000 0.726 (multiplicity 2)
Ir1 0.000 0.000 0.269 (multiplicity 2)
Ir2 0.500 0.000 0.462 (multiplicity 2)

Output
density of states at the Fermi level: 0.97 states/eV/atom

=====

entry 2 has the most favorable energy; the next structure is 213 meV/atom above.

=====

Entry 1
First-principles (GGA-PBE) data for crystalline Ce3TlIr at its relaxed geometry, as listed in the Alexandria database.

a = 9.864 Å, b = 5.007 Å, c = 11.032 Å
α = 90.00°, β = 90.00°, γ = 90.00°
Space group Pnma (No. 62)
Inequivalent atoms, fractional coordinates:
Ce1 0.111 0.250 0.075 (multiplicity 4)
Ce2 0.111 0.750 0.672 (multiplicity 4)
Ce3 0.179 0.750 0.303 (multiplicity 4)
Tl1 0.185 0.250 0.491 (multiplicity 4)
Ir1 0.046 0.250 0.827 (multiplicity 4)

Output
density of states at the Fermi level: 2.46 states/eV/atom

=====

Entry 2
First-principles (GGA-PBE) data for crystalline Ce3TlIr at its relaxed geometry, as listed in the Alexandria database.

a = 5.451 Å, b = 5.451 Å, c = 5.451 Å
α = 90.00°, β = 90.00°, γ = 90.00°
Space group Pm-3m (No. 221)
Inequivalent atoms, fractional coordinates:
Ce1 0.000 0.000 0.500 (multiplicity 3)
Tl1 0.500 0.500 0.500 (multiplicity 1)
Ir1 0.000 0.000 0.000 (multiplicity 1)

Output
density of states at the Fermi level: 3.72 states/eV/atom

=====

entry 1 has the most favorable energy; the next structure is 100 meV/atom above.